{"formula": "La2Nd2S3O4", "functional": "PBE", "state": "optimized geometry", "total_energy_ev_per_fu": -82.76, "vol_a3_per_atom": 19.27, "space_group": "Amm2", "cell": [[8.353, 0.000, 0.000], [0.000, 1.989, 6.378], [0.000, -1.989, 6.378]], "species": ["La", "La", "Nd", "Nd", "S", "S", "S", "O", "O", "O", "O"], "frac_coords": [[0.000, 0.000, 0.000], [0.500, 0.020, 0.020], [0.266, 0.325, 0.325], [0.734, 0.325, 0.325], [0.129, 0.665, 0.665], [0.500, 0.705, 0.705], [0.871, 0.665, 0.665], [0.000, 0.396, 0.396], [0.257, 0.926, 0.926], [0.500, 0.426, 0.426], [0.743, 0.926, 0.926]]}